No. 1
DFT (GGA-PBE) results for a geometry-optimized SrCa2Sc structure.

## Properties
uncorrected energy	-11.1	eV per formula unit
energy relative to the elements	0.232	eV/atom
space group	Fm-3m, No. 225

abc: 5.992 5.992 5.992
angles: 60.00 60.00 60.00
Positions (direct):
1 Ca 0.250 0.250 0.250
2 Sc 0.000 0.000 0.000
3 Ca 0.750 0.750 0.750
4 Sr 0.500 0.500 0.500

***

No. 2
DFT (GGA-PBE) results for a geometry-optimized SrCa2Sc structure.

## Properties
uncorrected energy	-11.1	eV per formula unit
energy relative to the elements	0.228	eV/atom
space group	F-43m, No. 216

abc: 5.998 5.998 5.998
angles: 60.00 60.00 60.00
Positions (direct):
1 Sc 0.500 0.500 0.500
2 Ca 0.000 0.000 0.000
3 Ca 0.750 0.750 0.750
4 Sr 0.250 0.250 0.250

***

Per-record excess energy over the best structure of this formula in the dataset, meV per atom: 71, 67